Entry 1:
CsTl2Pb6 | PBE-GGA | optimized geometry

Calculated values
E above lowest polymorph: 0 meV/atom

Cell: 5.1166 5.1166 12.2754 Å, 90.00 90.00 90.00°
Last column: nearest neighbours and their distance in Å.
Space group P4/mmm (No. 123)
Inequivalent atoms, fractional coordinates:
Cs 0.0000 0.0000 0.0000 [1 per cell]  8 Tl 3.99
Tl 0.5000 0.5000 0.1370 [2 per cell]  4 Pb 3.30, 1 Tl 3.36
Pb 0.0000 0.0000 0.5000 [1 per cell]  12 Pb 3.49-3.62
Pb 0.0000 0.5000 0.3068 [4 per cell]  2 Tl 3.30, 8 Pb 3.49-3.62
Pb 0.5000 0.5000 0.5000 [1 per cell]  12 Pb 3.49-3.62

=====

Entry 2:
Cs3Tl2Pb3 | PBE-GGA | optimized geometry

Cell: 4.7905 14.6826 20.3196 Å, 90.00 90.00 90.00°
Last column: nearest neighbours and their distance in Å.
Space group Cmcm (No. 63)
Inequivalent atoms, fractional coordinates:
Cs 0.0000 0.0973 0.2500 [4 per cell]  3 Pb 3.93-4.23, 4 Tl 4.14, 2 Cs 4.22
Cs 0.0000 0.1375 0.0445 [8 per cell]  3 Tl 4.01-4.27, 4 Pb 4.04, 4 Cs 4.22-4.46
Tl 0.0000 0.2108 0.6589 [8 per cell]  4 Pb 3.34-3.36, 1 Tl 3.70
Pb 0.0000 0.3852 0.2500 [4 per cell]  2 Pb 2.99, 4 Tl 3.34
Pb 0.0000 0.4332 0.1071 [8 per cell]  1 Pb 2.99

=====

Entry 3:
CsTlPb2 | PBE-GGA | optimized geometry

Calculated values
E above lowest polymorph: 42 meV/atom

Cell: 4.2109 4.2109 8.6611 Å, 90.00 90.00 90.00°
Last column: nearest neighbours and their distance in Å.
Space group P4/mmm (No. 123)
Inequivalent atoms, fractional coordinates:
Cs 0.0000 0.0000 0.0000 [1 per cell]  8 Pb 4.07, 4 Cs 4.21, 2 Tl 4.33
Tl 0.0000 0.0000 0.5000 [1 per cell]  8 Pb 3.36
Pb 0.5000 0.5000 0.3200 [2 per cell]  1 Pb 3.12, 4 Tl 3.36

=====

no.,uncorrected energy (eV/atom),size of the total moment (Bohr magnetons per cell)
1,-3.136,0.0
2,-2.411,0.0
3,-2.717,0.0